No. 1
# Ac7CdPb2N2

A relaxed structure of Ac7CdPb2N2 (PBE-GGA, the Alexandria database).

Lattice parameters (Å, degrees): 7.5211 7.5241 14.4983 90.00 104.97 90.00
With the nearest neighbours (Å) after each atom.
Space group C2/m (No. 12)
Inequivalent atoms, fractional coordinates:
Ac1 0.0000 0.0000 0.0000 x2  2 N 2.85
Ac2 0.1550 0.2501 0.8105 x8  2 N 2.67
Ac3 0.1949 0.0000 0.3908 x4  1 N 2.62
Cd1 0.0000 0.5000 0.0000 x2  12 Ac 3.75-3.76
Pb1 0.1791 0.5000 0.3592 x4  9 Ac 3.50-3.79
N1 0.1021 0.0000 0.2036 x4  6 Ac 2.62-2.85

Summary:
As for the density of states at the Fermi level: 15.6 states/eV per cell. The energy comes out at -122.70 eV/cell. As for the formation energy without anion corrections: -0.634 eV/atom.

No. 2
# Mg2SnAu2

A relaxed structure of Mg2SnAu2 (PBE-GGA, the Alexandria database).

Lattice parameters (Å, degrees): 7.5640 7.5640 3.5491 90.00 90.00 90.00
With the nearest neighbours (Å) after each atom.
Space group P4/mbm (No. 127)
Inequivalent atoms, fractional coordinates:
Mg1 0.1590 0.3410 0.0000 x4  6 Au 2.81-2.86
Sn1 0.0000 0.0000 0.5000 x2  4 Au 2.93
Au1 0.1371 0.6371 0.5000 x4  6 Mg 2.81-2.86, 1 Au 2.93, 2 Sn 2.93

Summary:
As for the density of states at the Fermi level: 4.6 states/eV per cell. For the offset from the most stable computed form, the calculation gives 0 meV/atom. The energy comes out at -31.92 eV/cell. For the calculated formation energy, the calculation gives -2.22 eV/f.u.

No. 3
# Ce3PmSm4N8

A relaxed structure of Ce3PmSm4N8 (PBE-GGA, the Alexandria database).

Lattice parameters (Å, degrees): 7.1607 7.1607 17.5132 90.00 90.00 120.00
With the nearest neighbours (Å) after each atom.
Space group R-3m (No. 166, hexagonal axes)
Inequivalent atoms, fractional coordinates:
Ce1 0.0000 0.5000 0.0000 x9  6 N 2.49-2.50
Pm1 0.0000 0.0000 0.0000 x3  6 N 2.54
Sm1 0.0000 0.0000 0.5000 x3  6 N 2.52
Sm2 0.0000 0.5000 0.5000 x9  6 N 2.56-2.57
N1 0.0000 0.0000 0.2529 x6  3 Ce 2.50, 3 Sm 2.56
N2 0.0063 0.5032 0.2525 x18  2 Ce 2.49, 3 Sm 2.52-2.57, 1 Pm 2.54

Summary:
As for the density of states at the Fermi level: 26.0 states/eV per cell. The energy comes out at -396.15 eV/cell. As for the formation energy without anion corrections: -1.501 eV/atom.

No. 4
# Tb6PrNd

A relaxed structure of Tb6PrNd (PBE-GGA, the Alexandria database).

Lattice parameters (Å, degrees): 10.1725 6.8508 8.5604 90.00 104.58 90.00
With the nearest neighbours (Å) after each atom.
Space group C2/m (No. 12)
Inequivalent atoms, fractional coordinates:
Tb1 0.1261 0.0000 0.4239 x4  5 Tb 3.16-3.52
Tb2 0.1976 0.2388 0.7998 x8  5 Tb 3.27-3.58, 1 Nd 3.35, 2 Pr 3.45-3.52
Pr1 0.0000 0.5000 0.0000 x2  8 Tb 3.45-3.52
Nd1 0.0000 0.5000 0.5000 x2  6 Tb 3.35-3.69

Summary:
As for the density of states at the Fermi level: 22.5 states/eV per cell. For the offset from the most stable computed form, the calculation gives 341 meV/atom. The energy comes out at -68.90 eV/cell. For the calculated formation energy, the calculation gives 2.88 eV/f.u.

No. 5
# BaNaTa

A relaxed structure of BaNaTa (PBE-GGA, the Alexandria database).

Lattice parameters (Å, degrees): 4.5833 4.5833 14.2437 90.00 90.00 120.00
With the nearest neighbours (Å) after each atom.
Space group P-3m1 (No. 164)
Inequivalent atoms, fractional coordinates:
Ba1 0.0000 0.0000 0.1657 x2  6 Ta 3.54-3.55
Na1 0.3333 0.6667 0.5860 x2  3 Na 3.61
Ta1 0.3333 0.6667 0.9993 x2  3 Ta 2.65

Summary:
As for the density of states at the Fermi level: 7.2 states/eV per cell. For the offset from the most stable computed form, the calculation gives 228 meV/atom. The energy comes out at -26.52 eV/cell. For the calculated formation energy, the calculation gives 1.84 eV/f.u.

No. 6
# CeSmRh2

A relaxed structure of CeSmRh2 (PBE-GGA, the Alexandria database).

Lattice parameters (Å, degrees): 3.9208 3.9208 21.0438 90.00 90.00 120.00
With the nearest neighbours (Å) after each atom.
Space group R3m (No. 160, hexagonal axes)
Inequivalent atoms, fractional coordinates:
Ce1 0.0000 0.0000 0.0000 x3  6 Rh 2.77-2.83
Sm1 0.0000 0.0000 0.8285 x3  6 Rh 2.89-2.97
Rh1 0.0000 0.0000 0.4095 x3  3 Ce 2.77, 3 Sm 2.89
Rh2 0.0000 0.0000 0.5863 x3  3 Ce 2.83, 3 Sm 2.97

Summary:
As for the density of states at the Fermi level: 11.8 states/eV per cell. The energy comes out at -83.20 eV/cell. For the calculated formation energy, the calculation gives -2.38 eV/f.u.

No. 7
# Li3Gd3Te2O12

A relaxed structure of Li3Gd3Te2O12 (PBE-GGA, the Alexandria database).

Lattice parameters (Å, degrees): 12.5322 12.5322 12.5322 90.00 90.00 90.00
With the nearest neighbours (Å) after each atom.
Space group Ia-3d (No. 230)
Inequivalent atoms, fractional coordinates:
Li1 0.0000 0.2500 0.3750 x24  4 O 1.92
Gd1 0.0000 0.2500 0.1250 x24  8 O 2.39-2.52
Te1 0.0000 0.0000 0.0000 x16  6 O 1.96
O1 0.0261 0.0518 0.6452 x96  1 Li 1.92, 1 Te 1.96

Summary:
As for the density of states at the Fermi level: 0.0 states/eV per cell. The energy comes out at -1281.16 eV/cell. As for the formation energy without anion corrections: -2.319 eV/atom.

No. 8
# Ba2LiCd4Pb3

A relaxed structure of Ba2LiCd4Pb3 (PBE-GGA, the Alexandria database).

Lattice parameters (Å, degrees): 4.9113 4.9113 12.8715 90.00 90.00 90.00
With the nearest neighbours (Å) after each atom.
Space group P-4m2 (No. 115)
Inequivalent atoms, fractional coordinates:
Ba1 0.0000 0.5000 0.2436 x2  6 Pb 3.72-4.11, 8 Cd 3.84-3.98, 2 Li 4.11
Li1 0.0000 0.0000 0.5000 x1  4 Cd 2.97
Cd1 0.0000 0.0000 0.0000 x1  4 Pb 3.05
Cd2 0.0000 0.5000 0.6295 x2  3 Pb 2.95-2.97, 2 Li 2.97
Cd3 0.5000 0.5000 0.0000 x1  4 Pb 3.05
Pb1 0.0000 0.5000 0.8591 x2  5 Cd 2.95-3.05
Pb2 0.5000 0.5000 0.5000 x1  4 Cd 2.97

Summary:
As for the density of states at the Fermi level: 4.4 states/eV per cell. The energy comes out at -23.70 eV/cell. For the calculated formation energy, the calculation gives -3.16 eV/f.u.

No. 9
# Sc2TiNi2

A relaxed structure of Sc2TiNi2 (PBE-GGA, the Alexandria database).

Lattice parameters (Å, degrees): 4.0140 5.2550 8.0620 90.00 90.00 90.00
With the nearest neighbours (Å) after each atom.
Space group Immm (No. 71)
Inequivalent atoms, fractional coordinates:
Sc1 0.0000 0.0000 0.2043 x4  6 Ni 2.78-2.86, 2 Ti 3.10
Ti1 0.0000 0.5000 0.0000 x2  4 Ni 2.46
Ni1 0.0000 0.2719 0.5000 x4  1 Ni 2.40, 2 Ti 2.46

Summary:
As for the density of states at the Fermi level: 11.0 states/eV per cell. For the offset from the most stable computed form, the calculation gives 6 meV/atom. The energy comes out at -67.68 eV/cell. For the calculated formation energy, the calculation gives -1.72 eV/f.u.

No. 10
# KSb2Mo

A relaxed structure of KSb2Mo (PBE-GGA, the Alexandria database).

Lattice parameters (Å, degrees): 3.0522 5.7221 5.7324 90.00 90.00 90.00
With the nearest neighbours (Å) after each atom.
Space group Pmm2 (No. 25)
Inequivalent atoms, fractional coordinates:
K1 0.0000 0.0000 0.0000 x1  2 K 3.05, 8 Sb 3.23-3.27
Sb1 0.5000 0.0000 0.5039 x1  2 Mo 2.88, 2 Sb 3.05
Sb2 0.5000 0.5000 0.0434 x1  2 Mo 2.80-2.94, 2 Sb 3.05
Mo1 0.5000 0.5000 0.5555 x1  4 Sb 2.80-2.94, 2 Mo 3.05

Summary:
As for the density of states at the Fermi level: 3.3 states/eV per cell. For the offset from the most stable computed form, the calculation gives 596 meV/atom. The energy comes out at -18.13 eV/cell. As for the formation energy without anion corrections: 0.511 eV/atom.

No. 11
# PmHfSb2

A relaxed structure of PmHfSb2 (PBE-GGA, the Alexandria database).

Lattice parameters (Å, degrees): 4.2167 4.2167 21.9729 90.00 90.00 120.00
With the nearest neighbours (Å) after each atom.
Space group R3m (No. 160, hexagonal axes)
Inequivalent atoms, fractional coordinates:
Pm1 0.0000 0.0000 0.0000 x3  6 Sb 3.14-3.21
Hf1 0.0000 0.0000 0.1724 x3  6 Sb 2.89-2.97
Sb1 0.0000 0.0000 0.5765 x3  3 Hf 2.89, 3 Pm 3.14
Sb2 0.0000 0.0000 0.7616 x3  3 Hf 2.97, 3 Pm 3.21

Summary:
As for the density of states at the Fermi level: 9.2 states/eV per cell. For the offset from the most stable computed form, the calculation gives 39 meV/atom. The energy comes out at -77.76 eV/cell. As for the formation energy without anion corrections: -0.743 eV/atom.

No. 12
# Pr2MnAgSe5

A relaxed structure of Pr2MnAgSe5 (PBE-GGA, the Alexandria database).

Lattice parameters (Å, degrees): 4.1998 18.0311 11.3545 90.00 90.00 90.00
With the nearest neighbours (Å) after each atom.
Space group Cmc2_1 (No. 36)
Inequivalent atoms, fractional coordinates:
Pr1 0.0000 0.1064 0.0000 x4  8 Se 3.06-3.39
Pr2 0.0000 0.1243 0.3792 x4  7 Se 3.01-3.17
Mn1 0.0000 0.4025 0.1792 x4  5 Se 2.52-2.62
Ag1 0.0000 0.2158 0.6885 x4  5 Se 2.65-2.84
Se1 0.0000 0.0324 0.7523 x4  2 Mn 2.55
Se2 0.0000 0.2935 0.0271 x4  1 Mn 2.62, 2 Ag 2.79
Se3 0.0000 0.3131 0.3509 x4  1 Mn 2.53
Se4 0.0000 0.3628 0.6901 x4  1 Ag 2.65
Se5 0.0000 0.4783 0.9923 x4  1 Mn 2.52

Summary:
As for the density of states at the Fermi level: 2.9 states/eV per cell. The energy comes out at -198.63 eV/cell. As for the formation energy without anion corrections: -1.184 eV/atom.

No. 13
# Ca2SiCl

A relaxed structure of Ca2SiCl (PBE-GGA, the Alexandria database).

Lattice parameters (Å, degrees): 4.1434 6.3572 8.0696 90.00 90.00 90.00
With the nearest neighbours (Å) after each atom.
Space group Immm (No. 71)
Inequivalent atoms, fractional coordinates:
Ca1 0.0000 0.0000 0.2298 x4  2 Cl 2.78, 2 Si 3.01
Si1 0.0000 0.5000 0.0000 x2  4 Ca 3.01
Cl1 0.0000 0.5000 0.5000 x2  4 Ca 2.78

Summary:
As for the density of states at the Fermi level: 3.4 states/eV per cell. For the offset from the most stable computed form, the calculation gives 261 meV/atom. The energy comes out at -29.00 eV/cell. As for the formation energy without anion corrections: -0.807 eV/atom.

No. 14
# Nd4ZnTc

A relaxed structure of Nd4ZnTc (PBE-GGA, the Alexandria database).

Lattice parameters (Å, degrees): 8.6650 12.9564 6.4407 90.00 106.62 90.00
With the nearest neighbours (Å) after each atom.
Space group C2/c (No. 15)
Inequivalent atoms, fractional coordinates:
Nd1 0.1069 0.1719 0.0401 x8  2 Tc 2.89, 1 Zn 3.21
Nd2 0.2077 0.4208 0.4074 x8  2 Tc 3.02-3.16, 2 Zn 3.19-3.27
Zn1 0.0000 0.3754 0.7500 x4  8 Nd 3.19-3.34
Tc1 0.0000 0.0004 0.2500 x4  8 Nd 2.89-3.16, 2 Tc 3.22

Summary:
As for the density of states at the Fermi level: 25.7 states/eV per cell. The energy comes out at -124.98 eV/cell. For the calculated formation energy, the calculation gives -0.53 eV/f.u.

No. 15
# Dy6TmAl

A relaxed structure of Dy6TmAl (PBE-GGA, the Alexandria database).

Lattice parameters (Å, degrees): 9.1169 9.1169 10.0404 90.00 90.00 120.00
With the nearest neighbours (Å) after each atom.
Space group R-3 (No. 148, hexagonal axes)
Inequivalent atoms, fractional coordinates:
Dy1 0.0235 0.2518 0.2158 x18  1 Al 3.09, 2 Dy 3.17-3.27, 1 Tm 3.44
Tm1 0.0000 0.0000 0.5000 x3  12 Dy 3.44-3.60
Al1 0.0000 0.0000 0.0000 x3  6 Dy 3.09

Summary:
As for the density of states at the Fermi level: 34.4 states/eV per cell. For the offset from the most stable computed form, the calculation gives 108 meV/atom. The energy comes out at -106.52 eV/cell. For the calculated formation energy, the calculation gives 0.32 eV/f.u.

No. 16
# SrCe3Pm2Te6

A relaxed structure of SrCe3Pm2Te6 (PBE-GGA, the Alexandria database).

Lattice parameters (Å, degrees): 19.7774 4.4924 9.1039 90.00 104.01 90.00
With the nearest neighbours (Å) after each atom.
Space group C2/m (No. 12)
Inequivalent atoms, fractional coordinates:
Sr1 0.0000 0.0000 0.0000 x2  6 Te 3.23-3.24
Ce1 0.0000 0.0000 0.5000 x2  6 Te 3.17-3.18
Ce2 0.1657 0.5000 0.8302 x4  6 Te 3.18-3.23
Pm1 0.1707 0.5000 0.3411 x4  6 Te 3.14-3.22
Te1 0.0028 0.5000 0.2556 x4  3 Ce 3.17-3.23, 1 Pm 3.22, 2 Sr 3.23
Te2 0.1655 0.0000 0.5826 x4  3 Pm 3.14-3.16, 3 Ce 3.18
Te3 0.1688 0.0000 0.0871 x4  3 Ce 3.18-3.23, 2 Pm 3.22, 1 Sr 3.24

Summary:
As for the density of states at the Fermi level: 46.8 states/eV per cell. The energy comes out at -129.86 eV/cell. As for the formation energy without anion corrections: -1.424 eV/atom.

No. 17
# La3Pm2Tl3

A relaxed structure of La3Pm2Tl3 (PBE-GGA, the Alexandria database).

Lattice parameters (Å, degrees): 9.4323 9.4323 6.9278 90.00 90.00 120.00
With the nearest neighbours (Å) after each atom.
Space group P6_3/mcm (No. 193)
Inequivalent atoms, fractional coordinates:
La1 0.0000 0.2399 0.2500 x6  3 Tl 3.32-3.36
Pm1 0.3333 0.6667 0.0000 x4  6 Tl 3.35, 2 Pm 3.46
Tl1 0.0000 0.4037 0.7500 x6  3 La 3.32-3.36, 4 Pm 3.35

Summary:
As for the density of states at the Fermi level: 22.3 states/eV per cell. For the offset from the most stable computed form, the calculation gives 0 meV/atom. The energy comes out at -67.75 eV/cell. For the calculated formation energy, the calculation gives -2.49 eV/f.u.

No. 18
# ZnPdAu

A relaxed structure of ZnPdAu (PBE-GGA, the Alexandria database).

Lattice parameters (Å, degrees): 8.7358 3.9575 5.6641 90.00 104.27 90.00
With the nearest neighbours (Å) after each atom.
Space group Cm (No. 8)
Inequivalent atoms, fractional coordinates:
Zn1 0.0000 0.0000 0.0000 x2  6 Pd 2.67-2.91, 4 Au 2.77-2.90, 2 Zn 2.94
Zn2 0.1803 0.5000 0.3409 x2  4 Pd 2.67-2.87, 5 Au 2.72-2.87, 2 Zn 2.94
Pd1 0.1658 0.5000 0.8642 x2  4 Zn 2.67-2.83, 5 Au 2.79-2.96, 2 Pd 2.84
Pd2 0.3421 0.0000 0.1774 x2  6 Zn 2.72-2.91, 4 Au 2.80-2.86, 2 Pd 2.84
Au1 0.0129 0.0000 0.4931 x2  5 Zn 2.72-2.90, 3 Au 2.78-2.86, 4 Pd 2.83-2.96
Au2 0.3388 0.0000 0.6810 x2  3 Au 2.78-2.86, 5 Pd 2.79-2.86, 4 Zn 2.81-2.87

Summary:
As for the density of states at the Fermi level: 2.4 states/eV per cell. For the offset from the most stable computed form, the calculation gives 0 meV/atom. The energy comes out at -43.16 eV/cell. For the calculated formation energy, the calculation gives -1.05 eV/f.u.

No. 19
# ZrMn2Al

A relaxed structure of ZrMn2Al (PBE-GGA, the Alexandria database).

Lattice parameters (Å, degrees): 2.9010 2.9010 26.8994 90.00 90.00 120.00
With the nearest neighbours (Å) after each atom.
Space group R3m (No. 160, hexagonal axes)
Inequivalent atoms, fractional coordinates:
Zr1 0.0000 0.0000 0.0000 x3  6 Zr 2.90, 3 Mn 2.97, 3 Al 3.07
Mn1 0.0000 0.0000 0.2422 x3  3 Mn 2.50
Mn2 0.0000 0.0000 0.5066 x3  3 Mn 2.50, 3 Al 2.67
Al1 0.0000 0.0000 0.7625 x3  3 Mn 2.67, 6 Al 2.90

Summary:
As for the density of states at the Fermi level: 9.9 states/eV per cell. The energy comes out at -90.14 eV/cell. For the calculated formation energy, the calculation gives 0.58 eV/f.u.

No. 20
# AlCoAs

A relaxed structure of AlCoAs (PBE-GGA, the Alexandria database).

Lattice parameters (Å, degrees): 3.3178 3.3178 7.5674 90.00 90.00 90.00
With the nearest neighbours (Å) after each atom.
Space group I4mm (No. 107)
Inequivalent atoms, fractional coordinates:
Al1 0.0000 0.0000 0.0000 x2  5 As 2.49-2.68, 5 Co 2.58-2.64
Co1 0.0000 0.0000 0.3406 x2  5 As 2.50-2.67, 5 Al 2.58-2.64
As1 0.0000 0.0000 0.6710 x2  5 Al 2.49-2.68, 5 Co 2.50-2.67

Summary:
As for the density of states at the Fermi level: 3.2 states/eV per cell. The energy comes out at -31.44 eV/cell. For the calculated formation energy, the calculation gives -0.22 eV/f.u.